[1]
Compound: Nb2Pd2Pt7
Source: the Alexandria database
Functional: PBE-GGA
Structure: optimized geometry

Cell and atoms, written as POSCAR:
```
Nb2Pd2Pt7
1.0
5.3806 -0.0037 0.1310
0.0022 7.2049 0.0041
-0.2045 -0.0010 5.3783
Nb Pd Pt
2 2 7
Direct
0.8004 0.5000 0.8004 Nb
0.1996 0.5000 0.1996 Nb
0.6717 0.0003 0.3283 Pd
0.3283 0.9997 0.6717 Pd
0.9999 0.2529 0.5006 Pt
0.5006 0.7471 0.9999 Pt
0.0001 0.7471 0.4994 Pt
0.4994 0.2529 0.0001 Pt
0.0000 0.0000 0.0000 Pt
0.5000 0.6851 0.5000 Pt
0.5000 0.3149 0.5000 Pt
```

Computed properties:
The mass density comes out at 14.038 g/cm³. As for the crystal system: orthorhombic. The formation enthalpy at 0 K comes out at 1.83 eV/f.u. The calculation puts the total DFT energy (no corrections) at -6.453 eV per atom. The space group is Cmmm.

=====

[2]
Compound: NbPd2Pt
Source: the Alexandria database
Functional: PBE-GGA
Structure: optimized geometry

Cell and atoms, written as POSCAR:
```
NbPd2Pt
1.0
0.2726 -1.5302 3.6027
4.4515 -1.9482 0.9723
3.9434 1.6199 2.5262
Nb Pd Pt
1 2 1
Direct
0.0000 0.5000 0.5000 Nb
0.2500 0.7500 0.7500 Pd
0.7500 0.2500 0.2500 Pd
0.5000 0.0000 0.0000 Pt
```

Computed properties:
The mass density comes out at 13.154 g/cm³. As for the crystal system: tetragonal. The formation enthalpy at 0 K comes out at -2.05 eV/f.u. The calculation puts the total DFT energy (no corrections) at -7.138 eV per atom. The space group is I4/mmm.

=====

[3]
Compound: Nb3Pd2Pt3
Source: the Alexandria database
Functional: PBE-GGA
Structure: optimized geometry

Cell and atoms, written as POSCAR:
```
Nb3Pd2Pt3
1.0
-3.7354 -2.5456 -0.7563
1.0157 -0.0878 -4.7211
4.6032 -3.6576 3.4620
Nb Pd Pt
3 2 3
Direct
0.8627 0.2896 0.7254 Nb
0.1373 0.7104 0.2746 Nb
0.0000 0.0000 0.0000 Nb
0.7483 0.6748 0.4965 Pd
0.2517 0.3252 0.5035 Pd
0.3696 0.9223 0.7393 Pt
0.5000 0.5000 0.0000 Pt
0.6304 0.0777 0.2607 Pt
```

Computed properties:
The mass density comes out at 13.504 g/cm³. As for the crystal system: monoclinic. The formation enthalpy at 0 K comes out at -3.45 eV/f.u. The calculation puts the total DFT energy (no corrections) at -7.771 eV per atom. The space group is C2/m.

=====

[4]
Compound: Nb3Pd2Pt6
Source: the Alexandria database
Functional: PBE-GGA
Structure: optimized geometry

Cell and atoms, written as POSCAR:
```
Nb3Pd2Pt6
1.0
-3.4488 -0.9112 -1.4305
0.2346 -3.4667 1.6425
-4.2115 6.9921 10.8628
Nb Pd Pt
3 2 6
Direct
0.0000 0.0000 0.0000 Nb
0.8385 0.8385 0.6769 Nb
0.1615 0.1615 0.3231 Nb
0.3560 0.3560 0.7119 Pd
0.6440 0.6440 0.2881 Pd
0.0702 0.5702 0.1404 Pt
0.5702 0.0702 0.1404 Pt
0.9298 0.4298 0.8596 Pt
0.4298 0.9298 0.8596 Pt
0.7473 0.7473 0.4947 Pt
0.2527 0.2527 0.5053 Pt
```

Computed properties:
The mass density comes out at 14.035 g/cm³. As for the crystal system: tetragonal. The formation enthalpy at 0 K comes out at -1.31 eV/f.u. The calculation puts the total DFT energy (no corrections) at -7.105 eV per atom. The space group is I4/mmm.

=====

[5]
Compound: Nb2PdPt5
Source: the Alexandria database
Functional: PBE-GGA
Structure: optimized geometry

Cell and atoms, written as POSCAR:
```
Nb2PdPt5
1.0
-2.7910 -2.2713 1.8016
1.9481 -4.5420 -2.7082
7.1298 -2.0141 8.5064
Nb Pd Pt
4 2 10
Direct
0.5000 0.2519 0.6252 Nb
0.5000 0.7481 0.3748 Nb
0.5000 0.2481 0.1252 Nb
0.5000 0.7519 0.8748 Nb
0.0000 0.0000 0.5000 Pd
0.0000 0.5000 0.0000 Pd
0.0000 0.0000 0.0000 Pt
0.0000 0.5000 0.5000 Pt
0.0000 0.4999 0.7492 Pt
0.0000 0.5001 0.2508 Pt
0.0000 0.0001 0.2492 Pt
0.0000 0.9999 0.7508 Pt
0.5000 0.2526 0.8757 Pt
0.5000 0.7474 0.1243 Pt
0.5000 0.2474 0.3757 Pt
0.5000 0.7526 0.6243 Pt
```

Computed properties:
The mass density comes out at 16.456 g/cm³. As for the crystal system: orthorhombic. The formation enthalpy at 0 K comes out at -3.99 eV/f.u. The calculation puts the total DFT energy (no corrections) at -7.441 eV per atom. The space group is Pbam.

=====

[6]
Compound: NbPd3Pt
Source: the Alexandria database
Functional: PBE-GGA
Structure: optimized geometry

Cell and atoms, written as POSCAR:
```
NbPd3Pt
1.0
-0.5603 4.1742 1.7591
-4.7400 -0.1641 -1.1202
-2.7826 -5.6866 12.6081
Nb Pd Pt
4 12 4
Direct
0.2500 0.3346 0.0996 Nb
0.7500 0.1654 0.5996 Nb
0.7500 0.6654 0.9004 Nb
0.2500 0.8346 0.4004 Nb
0.2500 0.3364 0.3014 Pd
0.7500 0.1636 0.8014 Pd
0.7500 0.6636 0.6986 Pd
0.2500 0.8364 0.1986 Pd
0.2500 0.3327 0.5007 Pd
0.7500 0.1673 0.0007 Pd
0.7500 0.6673 0.4993 Pd
0.2500 0.8327 0.9993 Pd
0.2500 0.3324 0.9012 Pd
0.7500 0.1676 0.4012 Pd
0.7500 0.6676 0.0988 Pd
0.2500 0.8324 0.5988 Pd
0.2500 0.8302 0.8006 Pt
0.7500 0.6698 0.3006 Pt
0.7500 0.1698 0.1994 Pt
0.2500 0.3302 0.6994 Pt
```

Computed properties:
The mass density comes out at 12.853 g/cm³. As for the crystal system: orthorhombic. The formation enthalpy at 0 K comes out at -1.99 eV/f.u. The calculation puts the total DFT energy (no corrections) at -6.737 eV per atom. The space group is Pnma.

=====

[7]
Compound: Nb4PdPt3
Source: the Alexandria database
Functional: PBE-GGA
Structure: optimized geometry

Cell and atoms, written as POSCAR:
```
Nb4PdPt3
1.0
-0.1395 2.7580 -0.6576
2.3735 -3.7577 -16.2629
-6.8422 4.4731 26.3383
Nb Pd Pt
4 1 3
Direct
0.4160 0.3788 0.8320 Nb
0.5840 0.6212 0.1680 Nb
0.4002 0.5364 0.8004 Nb
0.5998 0.4636 0.1996 Nb
0.0000 0.0000 0.0000 Pd
0.1530 0.2562 0.3061 Pt
0.8470 0.7438 0.6939 Pt
0.5000 0.5000 0.0000 Pt
```

Computed properties:
The mass density comes out at 11.925 g/cm³. As for the crystal system: monoclinic. The formation enthalpy at 0 K comes out at -0.50 eV/f.u. The calculation puts the total DFT energy (no corrections) at -8.011 eV per atom. The space group is C2/m.

=====

[8]
Compound: NbPd2Pt2
Source: the Alexandria database
Functional: PBE-GGA
Structure: optimized geometry

Cell and atoms, written as POSCAR:
```
NbPd2Pt2
1.0
-0.1660 -3.0667 2.4755
-2.9699 -3.5774 -1.4880
3.3036 -3.4895 -0.9585
Nb Pd Pt
1 2 2
Direct
0.0000 0.0000 0.0000 Nb
0.2007 0.1977 0.4009 Pd
0.7993 0.8023 0.5991 Pd
0.6008 0.6041 0.1942 Pt
0.3992 0.3959 0.8058 Pt
```

Computed properties:
The mass density comes out at 14.626 g/cm³. As for the crystal system: monoclinic. The formation enthalpy at 0 K comes out at -2.32 eV/f.u. The calculation puts the total DFT energy (no corrections) at -6.971 eV per atom. The space group is C2/m.

=====

[9]
Compound: NbPd3Pt4
Source: the Alexandria database
Functional: PBE-GGA
Structure: optimized geometry

Cell and atoms, written as POSCAR:
```
NbPd3Pt4
1.0
4.7492 0.0000 0.0000
0.0000 2.8287 0.0584
-2.3746 1.2239 9.5290
Nb Pd Pt
1 3 4
Direct
0.5000 0.0000 0.0000 Nb
0.0000 0.5000 0.0000 Pd
0.2464 0.2538 0.4929 Pd
0.7536 0.7462 0.5071 Pd
0.6252 0.3745 0.2504 Pt
0.3748 0.6255 0.7496 Pt
0.8774 0.1227 0.7548 Pt
0.1226 0.8773 0.2452 Pt
```

Computed properties:
The mass density comes out at 15.510 g/cm³. As for the crystal system: orthorhombic. The formation enthalpy at 0 K comes out at -1.24 eV/f.u. The calculation puts the total DFT energy (no corrections) at -6.382 eV per atom. The space group is Immm.

=====

[10]
Compound: Nb2Pd2Pt5
Source: the Alexandria database
Functional: PBE-GGA
Structure: optimized geometry

Cell and atoms, written as POSCAR:
```
Nb2Pd2Pt5
1.0
8.7069 -1.0280 -1.7303
-0.4644 4.8536 -0.6231
-5.0433 -2.6287 8.3548
Nb Pd Pt
4 4 10
Direct
0.2322 0.6852 0.3509 Nb
0.7115 0.2271 0.6496 Nb
0.5941 0.2278 0.2128 Nb
0.3463 0.6798 0.7856 Nb
0.0310 0.2036 0.9744 Pd
0.6840 0.7130 0.1340 Pd
0.1325 0.2023 0.4124 Pd
0.8116 0.7084 0.5875 Pd
0.1500 0.7024 0.9244 Pt
0.9137 0.6970 0.0247 Pt
0.2678 0.1994 0.8697 Pt
0.7939 0.2029 0.0757 Pt
0.3656 0.2007 0.3135 Pt
0.5777 0.7071 0.6858 Pt
0.4761 0.7100 0.2599 Pt
0.4681 0.1965 0.7380 Pt
0.0265 0.6996 0.4690 Pt
0.9174 0.2092 0.5320 Pt
```

Computed properties:
The mass density comes out at 15.894 g/cm³. As for the crystal system: triclinic. The formation enthalpy at 0 K comes out at -4.69 eV/f.u. The calculation puts the total DFT energy (no corrections) at -7.269 eV per atom. The space group is P1.

=====

[11]
Compound: NbPd2Pt2
Source: the Alexandria database
Functional: PBE-GGA
Structure: optimized geometry

Cell and atoms, written as POSCAR:
```
NbPd2Pt2
1.0
-5.0014 2.7595 -3.6774
1.1907 -4.4711 -4.9743
-2.4115 -2.3386 1.5248
Nb Pd Pt
2 4 4
Direct
0.0000 0.0000 0.0000 Nb
0.5000 0.5000 0.0000 Nb
0.1603 0.6603 0.5000 Pd
0.6603 0.8397 0.5000 Pd
0.8397 0.3397 0.5000 Pd
0.3397 0.1603 0.5000 Pd
0.3615 0.8615 0.0000 Pt
0.8615 0.6385 0.0000 Pt
0.6385 0.1385 0.0000 Pt
0.1385 0.3615 0.0000 Pt
```

Computed properties:
The mass density comes out at 13.574 g/cm³. As for the crystal system: tetragonal. The formation enthalpy at 0 K comes out at -0.56 eV/f.u. The calculation puts the total DFT energy (no corrections) at -6.619 eV per atom. The space group is P4/mbm.

=====

[12]
Compound: NbPd4Pt2
Source: the Alexandria database
Functional: PBE-GGA
Structure: optimized geometry

Cell and atoms, written as POSCAR:
```
NbPd4Pt2
1.0
-4.7752 0.3016 -0.4207
-0.2060 -4.6885 -1.0232
-3.1224 -3.5226 5.4961
Nb Pd Pt
1 4 2
Direct
0.0000 0.0000 0.0000 Nb
0.1881 0.1881 0.6237 Pd
0.8119 0.8119 0.3763 Pd
0.0000 0.5000 0.0000 Pd
0.5000 0.0000 0.0000 Pd
0.3934 0.3934 0.2133 Pt
0.6066 0.6066 0.7867 Pt
```

Computed properties:
The mass density comes out at 10.236 g/cm³. As for the crystal system: tetragonal. The formation enthalpy at 0 K comes out at 5.02 eV/f.u. The calculation puts the total DFT energy (no corrections) at -5.415 eV per atom. The space group is I4/mmm.

=====

[13]
Compound: Nb3Pd2Pt8
Source: the Alexandria database
Functional: PBE-GGA
Structure: optimized geometry

Cell and atoms, written as POSCAR:
```
Nb3Pd2Pt8
1.0
-4.3667 -0.8607 -2.6237
-4.4037 -0.9147 2.5424
-4.8775 9.0570 0.0597
Nb Pd Pt
3 2 8
Direct
0.0000 0.0000 0.0000 Nb
0.8127 0.8127 0.5620 Nb
0.1873 0.1873 0.4380 Nb
0.6380 0.6380 0.0860 Pd
0.3620 0.3620 0.9140 Pd
0.7244 0.7244 0.8269 Pt
0.2756 0.2756 0.1731 Pt
0.2266 0.7256 0.3223 Pt
0.7256 0.2266 0.3223 Pt
0.7256 0.7256 0.3223 Pt
0.2744 0.7734 0.6777 Pt
0.7734 0.2744 0.6777 Pt
0.2744 0.2744 0.6777 Pt
```

Computed properties:
The mass density comes out at 14.974 g/cm³. As for the crystal system: trigonal. The formation enthalpy at 0 K comes out at -1.73 eV/f.u. The calculation puts the total DFT energy (no corrections) at -6.973 eV per atom. The space group is R-3m.

=====

[14]
Compound: Nb2PdPt
Source: the Alexandria database
Functional: PBE-GGA
Structure: optimized geometry

Cell and atoms, written as POSCAR:
```
Nb2PdPt
1.0
-0.1124 1.9379 -2.8180
3.5222 -4.5365 -3.2602
-6.8445 -0.4730 -0.0524
Nb Pd Pt
4 2 2
Direct
0.2500 0.4481 0.1464 Nb
0.7500 0.5519 0.8536 Nb
0.7500 0.0526 0.8558 Nb
0.2500 0.9474 0.1442 Nb
0.2500 0.1896 0.6313 Pd
0.7500 0.8104 0.3687 Pd
0.7500 0.3057 0.3640 Pt
0.2500 0.6943 0.6360 Pt
```

Computed properties:
The mass density comes out at 11.905 g/cm³. As for the crystal system: monoclinic. The formation enthalpy at 0 K comes out at -1.69 eV/f.u. The calculation puts the total DFT energy (no corrections) at -8.265 eV per atom. The space group is P2_1/m.

=====

[15]
Compound: NbPd7Pt4
Source: the Alexandria database
Functional: PBE-GGA
Structure: optimized geometry

Cell and atoms, written as POSCAR:
```
NbPd7Pt4
1.0
5.2640 1.8431 0.5089
5.6464 9.2901 0.4994
-0.4779 0.0317 4.8116
Nb Pd Pt
1 7 4
Direct
0.0000 0.0000 0.0000 Nb
0.7514 0.9998 0.4990 Pd
0.2486 0.0002 0.5010 Pd
0.0004 0.6657 0.3351 Pd
0.9996 0.3343 0.6649 Pd
0.2453 0.6701 0.8324 Pd
0.5000 0.0000 0.0000 Pd
0.7547 0.3299 0.1676 Pd
0.5109 0.3251 0.6707 Pt
0.4891 0.6749 0.3293 Pt
0.7387 0.6716 0.8361 Pt
0.2613 0.3284 0.1639 Pt
```

Computed properties:
The mass density comes out at 14.365 g/cm³. As for the crystal system: triclinic. The formation enthalpy at 0 K comes out at -2.75 eV/f.u. The calculation puts the total DFT energy (no corrections) at -6.111 eV per atom. The space group is P-1.

=====

[16]
Compound: NbPdPt5
Source: the Alexandria database
Functional: PBE-GGA
Structure: optimized geometry

Cell and atoms, written as POSCAR:
```
NbPdPt5
1.0
7.8120 -0.6153 0.5431
1.8949 7.6037 0.5431
4.2086 3.0300 4.4485
Nb Pd Pt
2 2 10
Direct
0.5436 0.4564 0.2500 Nb
0.4564 0.5436 0.7500 Nb
0.0000 0.0000 0.0000 Pd
0.0000 0.0000 0.5000 Pd
0.6373 0.8611 0.1005 Pt
0.1933 0.5268 0.6304 Pt
0.8611 0.6373 0.6005 Pt
0.7973 0.2027 0.2500 Pt
0.4732 0.8067 0.8696 Pt
0.5268 0.1933 0.1304 Pt
0.2027 0.7973 0.7500 Pt
0.1389 0.3627 0.3995 Pt
0.8067 0.4732 0.3696 Pt
0.3627 0.1389 0.8995 Pt
```

Computed properties:
The mass density comes out at 16.195 g/cm³. As for the crystal system: monoclinic. The formation enthalpy at 0 K comes out at -0.95 eV/f.u. The calculation puts the total DFT energy (no corrections) at -6.631 eV per atom. The space group is C2/c.

=====

[17]
Compound: NbRePd2Pt
Source: the Alexandria database
Functional: PBE-GGA
Structure: optimized geometry

Cell and atoms, written as POSCAR:
```
NbRePd2Pt
1.0
-3.0186 -0.6444 -3.7353
-0.1389 -4.6178 0.9089
-3.7878 0.6929 2.9414
Re Nb Pd Pt
1 1 2 1
Direct
0.5000 0.5000 0.5000 Re
0.0000 0.5000 0.0000 Nb
0.0000 0.0000 0.5000 Pd
0.5000 0.0000 0.0000 Pd
0.0000 0.0000 0.0000 Pt
```

Computed properties:
The mass density comes out at 10.320 g/cm³. As for the crystal system: tetragonal. The formation enthalpy at 0 K comes out at 8.25 eV/f.u. The calculation puts the total DFT energy (no corrections) at -6.138 eV per atom. The space group is P4/mmm.

=====

[18]
Compound: NbPdPt2Rh
Source: the Alexandria database
Functional: PBE-GGA
Structure: optimized geometry

Cell and atoms, written as POSCAR:
```
NbPdPt2Rh
1.0
3.9584 0.0000 0.0000
0.0000 6.2901 0.4650
0.0000 -0.4127 6.2428
Nb Pd Pt Rh
2 2 4 2
Direct
0.7500 0.7550 0.2412 Nb
0.2500 0.2450 0.7588 Nb
0.7500 0.9498 0.6521 Pd
0.2500 0.0502 0.3479 Pd
0.2500 0.4522 0.1456 Pt
0.2500 0.6490 0.5474 Pt
0.7500 0.3510 0.4526 Pt
0.7500 0.5478 0.8544 Pt
0.7500 0.1479 0.0480 Rh
0.2500 0.8521 0.9520 Rh
```

Computed properties:
The mass density comes out at 14.722 g/cm³. As for the crystal system: monoclinic. The formation enthalpy at 0 K comes out at -2.13 eV/f.u. The calculation puts the total DFT energy (no corrections) at -7.366 eV per atom. The space group is P2_1/m.

=====

[19]
Compound: NbPdPtS2
Source: the Alexandria database
Functional: PBE-GGA
Structure: optimized geometry

Cell and atoms, written as POSCAR:
```
NbPdPtS2
1.0
4.6415 0.0000 0.0000
0.0000 5.0498 0.0000
0.0000 0.0000 4.6415
S Nb Pd Pt
2 1 1 1
Direct
0.0000 0.0000 0.5000 S
0.5000 0.0000 0.0000 S
0.0000 0.0000 0.0000 Nb
0.0000 0.5000 0.0000 Pd
0.5000 0.5000 0.5000 Pt
```

Computed properties:
The mass density comes out at 6.999 g/cm³. The formation energy from raw total energies is 0.570 eV per atom. As for the crystal system: tetragonal. The calculation puts the total DFT energy (no corrections) at -5.341 eV per atom. The space group is P4/mmm.

=====

[20]
Compound: ScNbPdPt2
Source: the Alexandria database
Functional: PBE-GGA
Structure: optimized geometry

Cell and atoms, written as POSCAR:
```
ScNbPdPt2
1.0
4.7712 0.0000 0.0000
0.0000 4.5967 0.0000
0.0000 0.0000 4.7712
Sc Nb Pd Pt
1 1 1 2
Direct
0.0000 0.0000 0.0000 Sc
0.5000 0.5000 0.5000 Nb
0.0000 0.5000 0.0000 Pd
0.0000 0.0000 0.5000 Pt
0.5000 0.0000 0.0000 Pt
```

Computed properties:
The mass density comes out at 10.068 g/cm³. As for the crystal system: tetragonal. The formation enthalpy at 0 K comes out at 3.00 eV/f.u. The calculation puts the total DFT energy (no corrections) at -6.134 eV per atom. The space group is P4/mmm.